# 1
Crystalline SrScIr3 at its relaxed geometry, computed with GGA-PBE.

Space group: Pm-3m
Formation enthalpy at 0 K (meV per atom): 1997
Excess energy over the best structure of this formula in the dataset (eV/atom): 1.346

a = 4.8900 Å, b = 4.8900 Å, c = 4.8900 Å
α = 90.00°, β = 90.00°, γ = 90.00°
Closest atoms and distances in Å follow each position.
Sites, in units of the cell vectors:
Ir1 0.0000 0.5000 0.0000  2 Sr 2.45
Ir2 0.5000 0.0000 0.0000  2 Sr 2.45
Ir3 0.0000 0.0000 0.5000  2 Sr 2.45
Sr1 0.0000 0.0000 0.0000  6 Ir 2.45
Sc1 0.5000 0.5000 0.5000  12 Ir 3.46

---

# 2
Crystalline SrScIr2 at its relaxed geometry, computed with GGA-PBE.

Space group: I4_1/amd
Formation enthalpy at 0 K (meV per atom): -20
Excess energy over the best structure of this formula in the dataset (eV/atom): 0.413

a = 5.0255 Å, b = 5.0255 Å, c = 9.4315 Å
α = 74.55°, β = 74.55°, γ = 90.00°
Closest atoms and distances in Å follow each position.
Sites, in units of the cell vectors:
Ir1 0.3748 0.6250 0.2500  2 Ir 2.51, 2 Sc 2.52
Ir2 0.8750 0.6252 0.7500  2 Ir 2.51, 2 Sc 2.52
Ir3 0.3752 0.1250 0.2500  2 Ir 2.51, 2 Sc 2.52
Ir4 0.3750 0.6248 0.7500  2 Ir 2.51, 2 Sc 2.52
Sc1 0.2500 0.7500 0.5000  4 Ir 2.52
Sc2 0.5000 0.5000 0.0000  4 Ir 2.52
Sr1 0.7500 0.2500 0.5000  4 Sc 3.55, 8 Ir 3.56
Sr2 0.0000 0.0000 0.0000  4 Sc 3.55, 8 Ir 3.56

---

Quick rundown of size of the total moment, same order as above: 0.00 0.00 μB per atom